# 1
NaSrBiPb: optimized geometry, PBE-GGA.

abc: 5.6906 5.6906 5.6906
angles: 60.00 60.00 60.00
With the nearest neighbours (Å) after each atom.
Atoms (fractional coordinates):
Pb 0.2500 0.2500 0.2500  4 Na 3.48, 4 Sr 3.48
Sr 0.5000 0.5000 0.5000  4 Pb 3.48, 4 Bi 3.48
Bi 0.7500 0.7500 0.7500  4 Na 3.48, 4 Sr 3.48
Na 0.0000 0.0000 0.0000  4 Pb 3.48, 4 Bi 3.48

Calculated values
* DFT formation energy: -0.40 eV per atom

***

# 2
NaTbBiPb: optimized geometry, PBE-GGA.

abc: 5.4906 5.4906 5.4906
angles: 60.00 60.00 60.00
With the nearest neighbours (Å) after each atom.
Atoms (fractional coordinates):
Pb 0.2500 0.2500 0.2500  4 Tb 3.36, 4 Na 3.36
Na 0.0000 0.0000 0.0000  4 Pb 3.36, 4 Bi 3.36
Tb 0.5000 0.5000 0.5000  4 Pb 3.36, 4 Bi 3.36
Bi 0.7500 0.7500 0.7500  4 Tb 3.36, 4 Na 3.36

Calculated values
* DFT formation energy: -0.31 eV per atom

***

# 3
NaBi2Te4Pb: optimized geometry, PBE-GGA.

abc: 4.7397 7.8647 7.8648
angles: 110.81 90.00 90.00
With the nearest neighbours (Å) after each atom.
Atoms (fractional coordinates):
Na 0.5000 0.5000 0.0000  6 Te 3.30-3.31
Bi 0.5000 0.0000 0.5000  6 Te 3.18-3.20
Bi 0.0000 0.5000 0.5000  6 Te 3.19-3.23
Te 0.5000 0.2505 0.2598  3 Bi 3.18-3.23, 2 Pb 3.29, 1 Na 3.30
Te 0.5000 0.7495 0.7402  3 Bi 3.18-3.23, 2 Pb 3.29, 1 Na 3.30
Te 0.0000 0.2447 0.7379  3 Bi 3.19-3.20, 1 Pb 3.28, 2 Na 3.31
Te 0.0000 0.7553 0.2621  3 Bi 3.19-3.20, 1 Pb 3.28, 2 Na 3.31
Pb 0.0000 0.0000 0.0000  6 Te 3.28-3.29

Calculated values
* formation energy without anion corrections: -0.36 eV per atom

***

# 4
NaTiBi2Pb: optimized geometry, PBE-GGA.

abc: 5.4679 5.4679 5.4958
angles: 90.00 90.00 90.00
With the nearest neighbours (Å) after each atom.
Atoms (fractional coordinates):
Pb 0.0000 0.0000 0.5000  2 Ti 2.75
Na 0.5000 0.5000 0.5000  4 Pb 3.87, 8 Bi 3.88
Bi 0.0000 0.5000 0.0000  2 Ti 2.73
Bi 0.5000 0.0000 0.0000  2 Ti 2.73
Ti 0.0000 0.0000 0.0000  4 Bi 2.73, 2 Pb 2.75

Calculated values
* DFT formation energy: 0.00 eV per atom

***

# 5
NaTiBiPb2: optimized geometry, PBE-GGA.

abc: 5.4854 5.4382 5.4854
angles: 90.00 90.00 90.00
With the nearest neighbours (Å) after each atom.
Atoms (fractional coordinates):
Pb 0.0000 0.0000 0.5000  2 Ti 2.74
Pb 0.5000 0.0000 0.0000  2 Ti 2.74
Na 0.5000 0.5000 0.5000  8 Pb 3.86, 4 Bi 3.88
Bi 0.0000 0.5000 0.0000  2 Ti 2.72
Ti 0.0000 0.0000 0.0000  2 Bi 2.72, 4 Pb 2.74

Calculated values
* DFT formation energy: 0.03 eV per atom

***

# 6
NaTl3BiPb: optimized geometry, PBE-GGA.

abc: 4.9666 7.7338 10.0336
angles: 90.00 90.00 108.73
With the nearest neighbours (Å) after each atom.
Atoms (fractional coordinates):
Na 0.5033 0.0065 0.7500  6 Tl 3.44-3.47, 2 Pb 3.48, 4 Bi 3.53
Na 0.4967 0.9935 0.2500  6 Tl 3.44-3.47, 2 Pb 3.48, 4 Bi 3.53
Tl 0.6623 0.3245 0.4978  2 Bi 3.44, 2 Na 3.44-3.47, 3 Pb 3.51-3.60, 5 Tl 3.53-3.57
Tl 0.3377 0.6755 0.5022  2 Bi 3.44, 2 Na 3.44-3.47, 3 Pb 3.51-3.60, 5 Tl 3.53-3.57
Tl 0.3377 0.6755 0.9978  2 Bi 3.44, 2 Na 3.44-3.47, 3 Pb 3.51-3.60, 5 Tl 3.53-3.57
Tl 0.6623 0.3245 0.0022  2 Bi 3.44, 2 Na 3.44-3.47, 3 Pb 3.51-3.60, 5 Tl 3.53-3.57
Tl 0.1671 0.3342 0.7500  2 Na 3.45, 2 Bi 3.50, 2 Pb 3.51, 6 Tl 3.53-3.55
Tl 0.8329 0.6658 0.2500  2 Na 3.45, 2 Bi 3.50, 2 Pb 3.51, 6 Tl 3.53-3.55
Bi 0.0000 0.0000 0.5000  6 Tl 3.44-3.50, 2 Pb 3.46, 4 Na 3.53
Bi 0.0000 0.0000 0.0000  6 Tl 3.44-3.50, 2 Pb 3.46, 4 Na 3.53
Pb 0.8369 0.6738 0.7500  2 Bi 3.46, 2 Na 3.48, 8 Tl 3.51-3.60
Pb 0.1631 0.3262 0.2500  2 Bi 3.46, 2 Na 3.48, 8 Tl 3.51-3.60

Calculated values
* DFT formation energy: -0.10 eV per atom

***

| no. | DOS(E_F) (states/eV/cell) | energy (eV/atom) |
| --- | --- | --- |
| 1 | 2.89 | -3.0426 |
| 2 | 3.97 | -3.6923 |
| 3 | 3.58 | -3.5285 |
| 4 | 3.28 | -4.1336 |
| 5 | 1.73 | -4.0773 |
| 6 | 3.85 | -2.7646 |